Record 1
## KPuSe3 (GGA-PBE)

Data for KPuSe3 after structural relaxation.

relative energy among the computed polymorphs	0	meV per atom
energy relative to the elements, uncorrected	-1100	meV per atom
calculated total energy	-6.28	eV/atom
magnetic moment	2.995	μB per formula unit

The structure in CIF format:
```
data_KPuSe3
_chemical_formula_sum 'K1 Pu1 Se3'
_cell_length_a 5.4502
_cell_length_b 5.4502
_cell_length_c 5.4502
_cell_angle_alpha 90.00
_cell_angle_beta 90.00
_cell_angle_gamma 90.00
_space_group_name_H-M_alt 'P m -3 m'
_space_group_IT_number 221
_space_group_name_Hall '-P 4 2 3'
loop_
_atom_site_label
_atom_site_type_symbol
_atom_site_fract_x
_atom_site_fract_y
_atom_site_fract_z
K1 K 0.0000 0.0000 0.0000
Pu1 Pu 0.5000 0.5000 0.5000
Se1 Se 0.0000 0.5000 0.5000
```

Record 2
## TlCrAg2 (GGA-PBE)

Data for TlCrAg2 after structural relaxation.

calculated total energy	-4.08	eV/atom
magnetic moment	4.162	μB per formula unit
DFT formation energy	0.34	eV/atom

The structure in CIF format:
```
data_TlCrAg2
_chemical_formula_sum 'Tl2 Cr2 Ag4'
_cell_length_a 4.3165
_cell_length_b 4.3165
_cell_length_c 8.2549
_cell_angle_alpha 90.00
_cell_angle_beta 90.00
_cell_angle_gamma 90.00
_space_group_name_H-M_alt 'I -4 m 2'
_space_group_IT_number 119
_space_group_name_Hall 'I -4 -2'
loop_
_atom_site_label
_atom_site_type_symbol
_atom_site_fract_x
_atom_site_fract_y
_atom_site_fract_z
Tl1 Tl 0.0000 0.0000 0.0000
Cr1 Cr 0.0000 0.5000 0.7500
Ag1 Ag 0.0000 0.0000 0.5000
Ag2 Ag 0.0000 0.5000 0.2500
```

Record 3
## NaHgPtF6 (GGA-PBE)

Data for NaHgPtF6 after structural relaxation.

energy relative to the elements, uncorrected	-1625	meV per atom
calculated total energy	-3.72	eV/atom
magnetic moment	0.000	μB per formula unit

The structure in CIF format:
```
data_NaHgPtF6
_chemical_formula_sum 'Na2 Hg2 Pt2 F12'
_cell_length_a 5.8062
_cell_length_b 5.8062
_cell_length_c 10.0817
_cell_angle_alpha 90.00
_cell_angle_beta 90.00
_cell_angle_gamma 120.00
_space_group_name_H-M_alt 'P -3 1 c'
_space_group_IT_number 163
_space_group_name_Hall '-P 3 2c'
loop_
_atom_site_label
_atom_site_type_symbol
_atom_site_fract_x
_atom_site_fract_y
_atom_site_fract_z
Na1 Na 0.3333 0.6667 0.2500
Hg1 Hg 0.0000 0.0000 0.0000
Pt1 Pt 0.3333 0.6667 0.7500
F1 F 0.0437 0.3805 0.6394
```